CsTaMnO4: relaxed, PBE+U. Values from VASP.

```
&SYSTEM
  ibrav = 0, nat = 14, ntyp = 4
/
ATOMIC_SPECIES
Cs 132.91 Cs.upf
Ta 180.95 Ta.upf
Mn 54.94 Mn.upf
O 16.00 O.upf
CELL_PARAMETERS angstrom
5.9718 0.0000 0.0000
0.0000 6.2122 0.0000
-0.0193 0.0000 8.7049
ATOMIC_POSITIONS angstrom
Cs 1.2933 1.5530 4.1573
Cs 4.6592 4.6591 4.5477
Ta 1.8699 4.6591 1.8245
Ta 4.0826 1.5530 6.8804
Mn 0.7092 1.5530 8.5592
Mn 5.2433 4.6591 0.1457
O 0.8955 3.1983 1.1302
O 0.8955 6.1199 1.1302
O 1.6873 4.6591 3.6535
O 2.2546 1.5530 7.2419
O 3.6978 4.6591 1.4630
O 4.2652 1.5530 5.0514
O 5.0570 0.0922 7.5747
O 5.0570 3.0139 7.5747
```

Calculated values
**M_tot**: 5.00 μB per formula unit
**DFT total energy**: -8.00 eV/atom
**Space-group type**: P2_1/m, No. 11